Entry 1:
# ScSi2Mo

ScSi2Mo after structural relaxation (PBE-GGA, the Alexandria database).

formation energy from raw total energies: 0.173 eV per atom
density of states at the Fermi level: 0.992 states/eV per atom
magnetization: 0.0 μB per formula unit
energy relative to the lowest polymorph listed for this composition: 2.843 eV/f.u.
crystal system: tetragonal

Cell: 3.9072 3.9072 18.3667 Å, 90.00 90.00 90.00°
Space group I-42d (No. 122)
One atom of each set of equivalent atoms:
1 Sc 0.0000 0.0000 0.0000
2 Si 0.2029 0.2500 0.6250
3 Mo 0.0000 0.0000 0.5000

***

Entry 2:
# Pr2EuHo

Pr2EuHo after structural relaxation (PBE-GGA, the Alexandria database).

density of states at the Fermi level: 1.575 states/eV per atom
DFT formation energy: 0.125 eV/atom
magnetization: 7.6 μB per formula unit
energy relative to the lowest polymorph listed for this composition: 0.371 eV/f.u.
crystal system: cubic

Cell: 8.3063 8.3063 8.3063 Å, 90.00 90.00 90.00°
Space group Fm-3m (No. 225)
One atom of each set of equivalent atoms:
1 Pr 0.2500 0.2500 0.2500
2 Eu 0.0000 0.0000 0.0000
3 Ho 0.0000 0.0000 0.5000

***

Entry 3:
# HOs2Ru

HOs2Ru after structural relaxation (PBE-GGA, the Alexandria database).

density of states at the Fermi level: 0.939 states/eV per atom
magnetization: 0.0 μB per formula unit
energy relative to the lowest polymorph listed for this composition: 0.000 eV/f.u.
crystal system: tetragonal

Cell: 6.1134 6.1134 5.0176 Å, 90.00 90.00 90.00°
Space group I-42d (No. 122)
One atom of each set of equivalent atoms:
1 H 0.0000 0.0000 0.0000
2 Os 0.1530 0.7500 0.1250
3 Ru 0.0000 0.0000 0.5000

***

Entry 4:
# NbZnCuAu

NbZnCuAu after structural relaxation (PBE-GGA, the Alexandria database).

density of states at the Fermi level: 0.983 states/eV per atom
DFT formation energy: -0.090 eV/atom
magnetization: 0.0 μB per formula unit
crystal system: tetragonal

Cell: 2.8800 2.8800 7.5183 Å, 90.00 90.00 90.00°
Space group P4mm (No. 99)
One atom of each set of equivalent atoms:
1 Nb 0.0000 0.0000 0.0000
2 Zn 0.0000 0.0000 0.5451
3 Cu 0.5000 0.5000 0.7534
4 Au 0.5000 0.5000 0.2856

***

Entry 5:
# PuZnCdPt

PuZnCdPt after structural relaxation (PBE-GGA, the Alexandria database).

density of states at the Fermi level: 2.322 states/eV per atom
DFT formation energy: -0.331 eV/atom
magnetization: 5.4 μB per formula unit
crystal system: cubic

Cell: 6.8737 6.8737 6.8737 Å, 90.00 90.00 90.00°
Space group F-43m (No. 216)
One atom of each set of equivalent atoms:
1 Pu 0.0000 0.0000 0.0000
2 Zn 0.2500 0.2500 0.7500
3 Cd 0.0000 0.0000 0.5000
4 Pt 0.2500 0.2500 0.2500

***

Entry 6:
# K2Ba3PaO6

K2Ba3PaO6 after structural relaxation (PBE-GGA, the Alexandria database).

formation energy from raw total energies: -2.489 eV per atom
density of states at the Fermi level: 0.285 states/eV per atom
magnetization: 0.0 μB per formula unit
crystal system: monoclinic

Cell: 6.7079 11.5862 6.5623 Å, 90.00 109.38 90.00°
Space group C2/m (No. 12)
One atom of each set of equivalent atoms:
1 K 0.0000 0.1662 0.0000
2 Ba 0.0000 0.0000 0.5000
3 Ba 0.0000 0.3301 0.5000
4 Pa 0.0000 0.5000 0.0000
5 O 0.1888 0.5000 0.7713
6 O 0.2051 0.3680 0.2150

***

Entry 7:
# KFe2Au

KFe2Au after structural relaxation (PBE-GGA, the Alexandria database).

density of states at the Fermi level: 1.404 states/eV per atom
DFT formation energy: 0.879 eV/atom
magnetization: 5.8 μB per formula unit
crystal system: orthorhombic

Cell: 2.7249 5.2158 5.3199 Å, 90.00 90.00 90.00°
Space group Pmmm (No. 47)
One atom of each set of equivalent atoms:
1 K 0.0000 0.0000 0.0000
2 Fe 0.0000 0.5000 0.5000
3 Fe 0.5000 0.0000 0.5000
4 Au 0.5000 0.5000 0.0000

***

Entry 8:
# Sc4Hg5Pt2

Sc4Hg5Pt2 after structural relaxation (PBE-GGA, the Alexandria database).

density of states at the Fermi level: 0.575 states/eV per atom
DFT formation energy: -0.625 eV/atom
magnetization: 0.0 μB per formula unit
crystal system: monoclinic

Cell: 7.4972 3.3442 9.4309 Å, 90.00 94.19 90.00°
Space group P2/m (No. 10)
One atom of each set of equivalent atoms:
1 Sc 0.1827 0.0000 0.3526
2 Sc 0.2131 0.0000 0.9360
3 Hg 0.1636 0.5000 0.6353
4 Hg 0.4675 0.5000 0.1654
5 Hg 0.5000 0.5000 0.5000
6 Pt 0.0798 0.5000 0.1400

***

Entry 9:
# GeTe2P

GeTe2P after structural relaxation (PBE-GGA, the Alexandria database).

formation energy from raw total energies: 0.368 eV per atom
density of states at the Fermi level: 0.436 states/eV per atom
magnetization: 0.0 μB per formula unit
energy relative to the lowest polymorph listed for this composition: 0.000 eV/f.u.
crystal system: tetragonal

Cell: 5.5496 5.5496 15.9998 Å, 90.00 90.00 90.00°
Space group I-42d (No. 122)
One atom of each set of equivalent atoms:
1 Ge 0.0000 0.0000 0.0000
2 Te 0.2251 0.2500 0.6250
3 P 0.0000 0.0000 0.5000

***

Entry 10:
# CdAg2HRh

CdAg2HRh after structural relaxation (PBE-GGA, the Alexandria database).

density of states at the Fermi level: 0.155 states/eV per atom
electronic total energy: -3.468 eV/atom
magnetization: 0.0 μB per formula unit
crystal system: tetragonal

Cell: 4.3162 4.3162 3.8485 Å, 90.00 90.00 90.00°
Space group P4/mmm (No. 123)
One atom of each set of equivalent atoms:
1 Cd 0.0000 0.0000 0.0000
2 Ag 0.0000 0.5000 0.5000
3 H 0.5000 0.5000 0.5000
4 Rh 0.5000 0.5000 0.0000

***

Entry 11:
# LaSb

LaSb after structural relaxation (PBE-GGA, the Alexandria database).

formation energy from raw total energies: -1.277 eV per atom
density of states at the Fermi level: 0.196 states/eV per atom
magnetization: 0.0 μB per formula unit
crystal system: cubic

Cell: 6.5433 6.5433 6.5433 Å, 90.00 90.00 90.00°
Space group Fm-3m (No. 225)
One atom of each set of equivalent atoms:
1 La 0.0000 0.0000 0.0000
2 Sb 0.0000 0.0000 0.5000

***

Entry 12:
# CsLi2PaO4

CsLi2PaO4 after structural relaxation (PBE-GGA, the Alexandria database).

formation energy from raw total energies: -2.328 eV per atom
density of states at the Fermi level: 0.000 states/eV per atom
magnetization: 0.0 μB per formula unit
crystal system: orthorhombic

Cell: 5.8104 6.1838 8.1213 Å, 90.00 90.00 90.00°
Space group I222 (No. 23)
One atom of each set of equivalent atoms:
1 Cs 0.0000 0.0000 0.0000
2 Li 0.0000 0.5000 0.2236
3 Pa 0.0000 0.0000 0.5000
4 O 0.2226 0.1561 0.3401

***

Entry 13:
# SiMoOsC2

SiMoOsC2 after structural relaxation (PBE-GGA, the Alexandria database).

formation energy from raw total energies: 2.015 eV per atom
density of states at the Fermi level: 1.083 states/eV per atom
magnetization: 0.0 μB per formula unit
crystal system: tetragonal

Cell: 3.9330 3.9330 5.1168 Å, 90.00 90.00 90.00°
Space group P4/mmm (No. 123)
One atom of each set of equivalent atoms:
1 Si 0.0000 0.0000 0.0000
2 Mo 0.5000 0.5000 0.5000
3 Os 0.5000 0.5000 0.0000
4 C 0.0000 0.5000 0.5000

***

Entry 14:
# AcLa3Ir

AcLa3Ir after structural relaxation (PBE-GGA, the Alexandria database).

density of states at the Fermi level: 2.105 states/eV per atom
DFT formation energy: -0.277 eV/atom
magnetization: 0.4 μB per formula unit
energy relative to the lowest polymorph listed for this composition: 0.248 eV/f.u.
crystal system: cubic

Cell: 5.7524 5.7524 5.7524 Å, 90.00 90.00 90.00°
Space group Pm-3m (No. 221)
One atom of each set of equivalent atoms:
1 Ac 0.0000 0.0000 0.0000
2 La 0.0000 0.5000 0.5000
3 Ir 0.5000 0.5000 0.5000

***

Entry 15:
# Zn4Cu15Pd

Zn4Cu15Pd after structural relaxation (PBE-GGA, the Alexandria database).

density of states at the Fermi level: 0.496 states/eV per atom
DFT formation energy: -0.063 eV/atom
magnetization: 0.0 μB per formula unit
crystal system: tetragonal

Cell: 3.6645 3.6645 18.6328 Å, 90.00 90.00 90.00°
Space group P4/mmm (No. 123)
One atom of each set of equivalent atoms:
1 Zn 0.0000 0.0000 0.0998
2 Zn 0.0000 0.0000 0.3002
3 Cu 0.0000 0.5000 0.0000
4 Cu 0.0000 0.5000 0.1989
5 Cu 0.0000 0.5000 0.3978
6 Cu 0.5000 0.5000 0.0988
7 Cu 0.5000 0.5000 0.2978
8 Cu 0.5000 0.5000 0.5000
9 Pd 0.0000 0.0000 0.5000

***

Entry 16:
# EuTh2Tc

EuTh2Tc after structural relaxation (PBE-GGA, the Alexandria database).

density of states at the Fermi level: 1.567 states/eV per atom
DFT formation energy: 0.043 eV/atom
magnetization: 8.1 μB per formula unit
crystal system: tetragonal

Cell: 3.5226 3.5226 9.5963 Å, 90.00 90.00 90.00°
Space group P4/mmm (No. 123)
One atom of each set of equivalent atoms:
1 Eu 0.0000 0.0000 0.0000
2 Th 0.5000 0.5000 0.3166
3 Tc 0.0000 0.0000 0.5000

***

Entry 17:
# La5Te5Se2

La5Te5Se2 after structural relaxation (PBE-GGA, the Alexandria database).

formation energy from raw total energies: -1.717 eV per atom
density of states at the Fermi level: 0.175 states/eV per atom
magnetization: 0.0 μB per formula unit
crystal system: monoclinic

Cell: 14.8713 4.4326 13.1915 Å, 90.00 106.41 90.00°
Space group C2/m (No. 12)
One atom of each set of equivalent atoms:
1 La 0.0000 0.0000 0.0000
2 La 0.1092 0.0000 0.4093
3 La 0.1841 0.5000 0.8034
4 Te 0.0000 0.5000 0.5000
5 Te 0.1638 0.5000 0.0526
6 Te 0.2450 0.5000 0.3509
7 Se 0.0420 0.0000 0.7911

***

Entry 18:
# MoS3N

MoS3N after structural relaxation (PBE-GGA, the Alexandria database).

formation energy from raw total energies: 1.054 eV per atom
density of states at the Fermi level: 0.728 states/eV per atom
magnetization: 2.9 μB per formula unit
energy relative to the lowest polymorph listed for this composition: 0.000 eV/f.u.
crystal system: cubic

Cell: 4.6800 4.6800 4.6800 Å, 90.00 90.00 90.00°
Space group Pm-3m (No. 221)
One atom of each set of equivalent atoms:
1 Mo 0.0000 0.0000 0.0000
2 S 0.0000 0.0000 0.5000
3 N 0.5000 0.5000 0.5000

***

Entry 19:
# BaCa2NdTl4

BaCa2NdTl4 after structural relaxation (PBE-GGA, the Alexandria database).

density of states at the Fermi level: 0.668 states/eV per atom
DFT formation energy: -0.400 eV/atom
magnetization: 0.0 μB per formula unit
crystal system: trigonal

Cell: 5.6461 5.6461 27.8936 Å, 90.00 90.00 120.00°
Space group R-3m (No. 166, hexagonal axes)
One atom of each set of equivalent atoms:
1 Ba 0.0000 0.0000 0.0000
2 Ca 0.0000 0.0000 0.2489
3 Nd 0.0000 0.0000 0.5000
4 Tl 0.0000 0.0000 0.1280
5 Tl 0.0000 0.0000 0.3816

***

Entry 20:
# SiTeMoI2

SiTeMoI2 after structural relaxation (PBE-GGA, the Alexandria database).

formation energy from raw total energies: 0.829 eV per atom
density of states at the Fermi level: 0.605 states/eV per atom
magnetization: 3.5 μB per formula unit
energy relative to the lowest polymorph listed for this composition: 0.000 eV/f.u.
crystal system: tetragonal

Cell: 5.5671 5.5671 5.3435 Å, 90.00 90.00 90.00°
Space group P4/mmm (No. 123)
One atom of each set of equivalent atoms:
1 Si 0.0000 0.0000 0.0000
2 Te 0.5000 0.5000 0.0000
3 Mo 0.5000 0.5000 0.5000
4 I 0.0000 0.5000 0.5000